Entry 1:
{
  "formula": "Cs2ReClF5",
  "functional": "PBE-GGA",
  "state": "optimized geometry",
  "formation_energy_uncorrected_ev_per_fu": -20.8,
  "space_group": "I4mm, No. 107",
  "cell": [[-3.478, 3.478, 4.470], [3.478, -3.478, 4.470], [3.478, 3.478, -4.470]],
  "species": ["Cs", "Cs", "Re", "Cl", "F", "F", "F", "F", "F"],
  "fractional_positions": [[0.000, 0.500, 0.500], [0.500, 0.000, 0.500], [0.258, 0.258, 0.000], [0.523, 0.523, 0.000], [0.036, 0.036, 0.000], [0.051, 0.051, 0.596], [0.051, 0.456, 0.000], [0.456, 0.051, 0.000], [0.456, 0.456, 0.404]]
}



Entry 2:
{
  "formula": "Cs2ReClF6",
  "functional": "PBE-GGA",
  "state": "optimized geometry",
  "formation_energy_uncorrected_ev_per_fu": -22.9,
  "space_group": "P-1, No. 2",
  "e_above_lowest_polymorph_mev_per_atom": 0.0,
  "cell": [[5.597, 0.000, 0.000], [-2.757, 5.618, 0.000], [-0.023, -3.484, 7.572]],
  "species": ["Cs", "Cs", "Re", "Cl", "F", "F", "F", "F", "F", "F"],
  "fractional_positions": [[0.207, 0.412, 0.179], [0.793, 0.588, 0.821], [0.000, 0.000, 0.500], [0.500, 0.000, 0.000], [0.111, 0.227, 0.752], [0.130, 0.783, 0.536], [0.347, 0.215, 0.466], [0.653, 0.785, 0.534], [0.870, 0.217, 0.464], [0.889, 0.773, 0.248]]
}



Entry 3:
{
  "formula": "Cs2RhCl2F4",
  "functional": "PBE-GGA",
  "state": "optimized geometry",
  "formation_energy_uncorrected_ev_per_fu": -17.0,
  "space_group": "I4/mmm, No. 139",
  "cell": [[-3.559, 3.559, 4.381], [3.559, -3.559, 4.381], [3.559, 3.559, -4.381]],
  "species": ["Cs", "Cs", "Rh", "Cl", "Cl", "F", "F", "F", "F"],
  "fractional_positions": [[0.250, 0.750, 0.500], [0.750, 0.250, 0.500], [0.000, 0.000, 0.000], [0.267, 0.267, 0.000], [0.733, 0.733, 0.000], [0.195, 0.195, 0.389], [0.195, 0.805, 0.000], [0.805, 0.195, 0.000], [0.805, 0.805, 0.611]]
}



Entry 4:
{
  "formula": "Cs2RuCl5F",
  "functional": "PBE-GGA",
  "state": "optimized geometry",
  "formation_energy_uncorrected_ev_per_fu": -12.9,
  "space_group": "I4mm, No. 107",
  "cell": [[-3.713, 3.713, 5.149], [3.713, -3.713, 5.149], [3.713, 3.713, -5.149]],
  "species": ["Cs", "Cs", "Ru", "Cl", "Cl", "Cl", "Cl", "Cl", "F"],
  "fractional_positions": [[0.000, 0.500, 0.500], [0.500, 0.000, 0.500], [0.248, 0.248, 0.000], [0.023, 0.023, 0.000], [0.026, 0.026, 0.549], [0.026, 0.476, 0.000], [0.476, 0.026, 0.000], [0.476, 0.476, 0.451], [0.437, 0.437, 0.000]]
}



Entry 5:
{
  "formula": "Cs2RuCl4F2",
  "functional": "PBE-GGA",
  "state": "optimized geometry",
  "formation_energy_uncorrected_ev_per_fu": -14.6,
  "space_group": "I4/mmm, No. 139",
  "cell": [[-3.672, 3.672, 5.091], [3.672, -3.672, 5.091], [3.672, 3.672, -5.091]],
  "species": ["Cs", "Cs", "Ru", "Cl", "Cl", "Cl", "Cl", "F", "F"],
  "fractional_positions": [[0.250, 0.750, 0.500], [0.750, 0.250, 0.500], [0.000, 0.000, 0.000], [0.228, 0.228, 0.457], [0.228, 0.772, 0.000], [0.772, 0.228, 0.000], [0.772, 0.772, 0.543], [0.189, 0.189, 0.000], [0.811, 0.811, 0.000]]
}



Entry 6:
{
  "formula": "Cs2RuClF6",
  "functional": "PBE-GGA",
  "state": "optimized geometry",
  "formation_energy_uncorrected_ev_per_fu": -20.2,
  "space_group": "I4/mmm, No. 139",
  "cell": [[-3.461, 3.461, 4.905], [3.461, -3.461, 4.905], [3.461, 3.461, -4.905]],
  "species": ["Cs", "Cs", "Ru", "Cl", "F", "F", "F", "F", "F", "F"],
  "fractional_positions": [[0.250, 0.750, 0.500], [0.750, 0.250, 0.500], [0.000, 0.000, 0.000], [0.500, 0.500, 0.000], [0.196, 0.196, 0.000], [0.196, 0.196, 0.392], [0.196, 0.804, 0.000], [0.804, 0.196, 0.000], [0.804, 0.804, 0.000], [0.804, 0.804, 0.608]]
}



Entry 7:
{
  "formula": "Cs2RuCl2F4",
  "functional": "PBE-GGA",
  "state": "optimized geometry",
  "formation_energy_uncorrected_ev_per_fu": -17.8,
  "space_group": "I4/mmm, No. 139",
  "cell": [[-3.559, 3.559, 4.417], [3.559, -3.559, 4.417], [3.559, 3.559, -4.417]],
  "species": ["Cs", "Cs", "Ru", "Cl", "Cl", "F", "F", "F", "F"],
  "fractional_positions": [[0.250, 0.750, 0.500], [0.750, 0.250, 0.500], [0.000, 0.000, 0.000], [0.266, 0.266, 0.000], [0.734, 0.734, 0.000], [0.194, 0.194, 0.389], [0.194, 0.806, 0.000], [0.806, 0.194, 0.000], [0.806, 0.806, 0.611]]
}



Entry 8:
{
  "formula": "CsS2ClF",
  "functional": "PBE-GGA",
  "state": "optimized geometry",
  "formation_energy_uncorrected_ev_per_fu": 4.1,
  "space_group": "P4/mmm, No. 123",
  "e_above_lowest_polymorph_mev_per_atom": 941.2,
  "cell": [[5.755, 0.000, 0.000], [0.000, 5.755, 0.000], [0.000, 0.000, 5.957]],
  "species": ["Cs", "S", "S", "Cl", "F"],
  "fractional_positions": [[0.000, 0.000, 0.000], [0.000, 0.500, 0.000], [0.500, 0.000, 0.000], [0.000, 0.000, 0.500], [0.500, 0.500, 0.500]]
}



Entry 9:
{
  "formula": "Cs2SCl6F",
  "functional": "PBE-GGA",
  "state": "optimized geometry",
  "formation_energy_uncorrected_ev_per_fu": -9.2,
  "space_group": "I4/mmm, No. 139",
  "cell": [[-3.571, 3.571, 5.408], [3.571, -3.571, 5.408], [3.571, 3.571, -5.408]],
  "species": ["Cs", "Cs", "S", "Cl", "Cl", "Cl", "Cl", "Cl", "Cl", "F"],
  "fractional_positions": [[0.250, 0.750, 0.500], [0.750, 0.250, 0.500], [0.000, 0.000, 0.000], [0.214, 0.214, 0.000], [0.229, 0.229, 0.458], [0.229, 0.771, 0.000], [0.771, 0.229, 0.000], [0.771, 0.771, 0.542], [0.786, 0.786, 0.000], [0.500, 0.500, 0.000]]
}



Entry 10:
{
  "formula": "CsS2ClF",
  "functional": "PBE-GGA",
  "state": "optimized geometry",
  "formation_energy_uncorrected_ev_per_fu": -0.6,
  "space_group": "P4/mmm, No. 123",
  "e_above_lowest_polymorph_mev_per_atom": 0.0,
  "cell": [[4.448, 0.000, 0.000], [0.000, 4.448, 0.000], [0.000, 0.000, 7.235]],
  "species": ["Cs", "S", "S", "Cl", "F"],
  "fractional_positions": [[0.000, 0.000, 0.000], [0.000, 0.500, 0.500], [0.500, 0.000, 0.500], [0.500, 0.500, 0.000], [0.500, 0.500, 0.500]]
}



Entry 11:
{
  "formula": "CsSbCl2F",
  "functional": "PBE-GGA",
  "state": "optimized geometry",
  "formation_energy_uncorrected_ev_per_fu": -7.3,
  "space_group": "P4/mmm, No. 123",
  "cell": [[5.821, 0.000, 0.000], [0.000, 5.821, 0.000], [0.000, 0.000, 4.493]],
  "species": ["Cs", "Sb", "Cl", "Cl", "F"],
  "fractional_positions": [[0.000, 0.000, 0.000], [0.500, 0.500, 0.500], [0.000, 0.500, 0.500], [0.500, 0.000, 0.500], [0.500, 0.500, 0.000]]
}



Entry 12:
{
  "formula": "Cs3SbCl2F6",
  "functional": "PBE-GGA",
  "state": "optimized geometry",
  "formation_energy_uncorrected_ev_per_fu": -28.3,
  "space_group": "C2/m, No. 12",
  "cell": [[8.439, -4.212, 0.000], [8.439, 4.212, 0.000], [-0.008, 0.000, 5.135]],
  "species": ["Cs", "Cs", "Cs", "Sb", "Cl", "Cl", "F", "F", "F", "F", "F", "F"],
  "fractional_positions": [[0.000, 0.000, 0.000], [0.000, 0.500, 0.500], [0.500, 0.000, 0.500], [0.500, 0.500, 0.500], [0.195, 0.195, 0.005], [0.805, 0.805, 0.995], [0.297, 0.626, 0.272], [0.374, 0.703, 0.728], [0.398, 0.398, 0.668], [0.602, 0.602, 0.332], [0.626, 0.297, 0.272], [0.703, 0.374, 0.728]]
}



| no. | Fermi-level density of states (states/eV per atom) | total magnetic moment (μB per formula unit) | total DFT energy (no corrections) (eV/atom) |
| --- | --- | --- | --- |
| 1 | 0.000 | 3.0 | -5.1249 |
| 2 | 0.996 | 2.0 | -5.0120 |
| 3 | 0.982 | 1.0 | -4.1349 |
| 4 | 0.621 | 2.0 | -3.8848 |
| 5 | 0.157 | 2.0 | -4.0759 |
| 6 | 0.156 | 3.0 | -4.4237 |
| 7 | 0.704 | 2.0 | -4.4364 |
| 8 | 2.292 | 4.3 | -1.7424 |
| 9 | 1.031 | 0.0 | -2.8001 |
| 10 | 1.203 | 1.2 | -2.6837 |
| 11 | 0.440 | 0.5 | -3.5741 |
| 12 | 0.000 | 0.1 | -4.1582 |